The following is a PBE calculation of an optimized crystal structure of CeYCu, from the Alexandria database.

Unit cell a=3.4152 b=16.5420 c=5.0574 alpha=90.00 beta=90.00 gamma=90.00
Closest atoms and distances in Å follow each position.
Space group Cmcm (No. 63)
Inequivalent atoms, fractional coordinates:
Ce 0.0000 0.2259 0.2500 (multiplicity 4)  2 Cu 3.01, 4 Ce 3.15
Y 0.0000 0.0737 0.7500 (multiplicity 4)  6 Cu 3.01-3.05
Cu 0.0000 0.4239 0.7500 (multiplicity 4)  6 Y 3.01-3.05, 2 Ce 3.01

Computed properties:
The raw total energy comes out at -0.4089 Ry per atom. The calculation puts the formation energy at -6 kJ/mol of atoms. As for the relative energy among the computed polymorphs: 0 kJ/mol of formula units.

=====

The following is a PBE calculation of an optimized crystal structure of TlCd2NiPb, from the Alexandria database.

Unit cell a=5.0695 b=5.0695 c=4.9974 alpha=90.00 beta=90.00 gamma=90.00
Closest atoms and distances in Å follow each position.
Space group P4/mmm (No. 123)
Inequivalent atoms, fractional coordinates:
Tl 0.0000 0.0000 0.0000 (multiplicity 1)  2 Ni 2.50
Cd 0.0000 0.5000 0.5000 (multiplicity 2)  2 Ni 2.53
Ni 0.0000 0.0000 0.5000 (multiplicity 1)  2 Tl 2.50, 4 Cd 2.53
Pb 0.5000 0.5000 0.0000 (multiplicity 1)  8 Cd 3.56, 4 Tl 3.58

Computed properties:
The raw total energy comes out at -0.1894 Ry per atom. The calculation puts the formation energy at 15 kJ/mol of atoms. As for the relative energy among the computed polymorphs: 39 kJ/mol of formula units.

=====

The following is a PBE calculation of an optimized crystal structure of CoPH2, from the Alexandria database.

Unit cell a=3.2237 b=3.2237 c=12.4057 alpha=90.00 beta=90.00 gamma=90.00
Closest atoms and distances in Å follow each position.
Space group I-42d (No. 122)
Inequivalent atoms, fractional coordinates:
Co 0.0000 0.0000 0.0000 (multiplicity 4)  4 H 1.86
P 0.0000 0.0000 0.5000 (multiplicity 4)  4 H 2.01
H 0.1934 0.2500 0.1250 (multiplicity 8)  2 Co 1.86, 2 P 2.01, 2 H 2.04

Computed properties:
The raw total energy comes out at -0.3208 Ry per atom. As for the relative energy among the computed polymorphs: 204 kJ/mol of formula units.

=====

The following is a PBE calculation of an optimized crystal structure of AlCBr2, from the Alexandria database.

Unit cell a=3.4171 b=3.4171 c=25.8367 alpha=90.00 beta=90.00 gamma=120.00
Closest atoms and distances in Å follow each position.
Space group R-3m (No. 166, hexagonal axes)
Inequivalent atoms, fractional coordinates:
Al 0.0000 0.0000 0.0000 (multiplicity 3)  2 Br 2.82
C 0.0000 0.0000 0.5000 (multiplicity 3)  6 Br 2.47
Br 0.0000 0.0000 0.1090 (multiplicity 6)  3 C 2.47

Computed properties:
The raw total energy comes out at -0.1981 Ry per atom. As for the relative energy among the computed polymorphs: 7 kJ/mol of formula units.

=====

The following is a PBE calculation of an optimized crystal structure of CaMnInCl5, from the Alexandria database.

Unit cell a=9.0677 b=12.1269 c=9.9413 alpha=90.00 beta=113.81 gamma=90.00
Closest atoms and distances in Å follow each position.
Space group C2/c (No. 15)
Inequivalent atoms, fractional coordinates:
Ca 0.0000 0.0000 0.0000 (multiplicity 4)  6 Cl 2.69-2.80
Mn 0.0000 0.3169 0.2500 (multiplicity 4)  4 Cl 2.36-2.37
In 0.0000 0.3334 0.7500 (multiplicity 4)  3 Cl 3.00-3.22
Cl 0.0000 0.0857 0.7500 (multiplicity 4)  2 Ca 2.69, 1 In 3.00
Cl 0.1165 0.2066 0.1217 (multiplicity 8)  1 Mn 2.37
Cl 0.1830 0.4340 0.4306 (multiplicity 8)  1 Mn 2.36

Computed properties:
The raw total energy comes out at -0.3236 Ry per atom.

=====

The following is a PBE calculation of an optimized crystal structure of YTm5Mg6, from the Alexandria database.

Unit cell a=5.3368 b=16.0216 c=7.4705 alpha=90.00 beta=90.00 gamma=90.00
Closest atoms and distances in Å follow each position.
Space group Cmmm (No. 65)
Inequivalent atoms, fractional coordinates:
Y 0.0000 0.0000 0.0000 (multiplicity 2)  8 Mg 3.26-3.27
Tm 0.0000 0.0000 0.5000 (multiplicity 2)  8 Mg 3.25-3.26
Tm 0.0000 0.3324 0.0000 (multiplicity 4)  8 Mg 3.24-3.28
Tm 0.0000 0.3340 0.5000 (multiplicity 4)  8 Mg 3.25
Mg 0.0000 0.1673 0.2512 (multiplicity 8)  7 Tm 3.24-3.26, 1 Y 3.27
Mg 0.0000 0.5000 0.2510 (multiplicity 4)  6 Tm 3.25-3.28, 2 Y 3.26

Computed properties:
The raw total energy comes out at -0.2401 Ry per atom. The calculation puts the formation energy at -6 kJ/mol of atoms.

=====

The following is a PBE calculation of an optimized crystal structure of CeGdBiPb, from the Alexandria database.

Unit cell a=7.8371 b=7.8371 c=7.8371 alpha=90.00 beta=90.00 gamma=90.00
Closest atoms and distances in Å follow each position.
Space group F-43m (No. 216)
Inequivalent atoms, fractional coordinates:
Ce 0.0000 0.0000 0.0000 (multiplicity 4)  4 Bi 3.39, 4 Pb 3.39
Gd 0.0000 0.0000 0.5000 (multiplicity 4)  4 Pb 3.39, 4 Bi 3.39
Bi 0.2500 0.2500 0.7500 (multiplicity 4)  4 Gd 3.39, 4 Ce 3.39
Pb 0.2500 0.2500 0.2500 (multiplicity 4)  4 Ce 3.39, 4 Gd 3.39

Computed properties:
The raw total energy comes out at -0.5441 Ry per atom. The calculation puts the formation energy at -48 kJ/mol of atoms.

=====

The following is a PBE calculation of an optimized crystal structure of YTe2Mo, from the Alexandria database.

Unit cell a=3.5516 b=3.5516 c=26.7959 alpha=90.00 beta=90.00 gamma=120.00
Closest atoms and distances in Å follow each position.
Space group R-3m (No. 166, hexagonal axes)
Inequivalent atoms, fractional coordinates:
Y 0.0000 0.0000 0.0000 (multiplicity 3)  6 Te 3.29, 6 Y 3.55
Te 0.0000 0.0000 0.2374 (multiplicity 6)  3 Mo 2.79
Mo 0.0000 0.0000 0.5000 (multiplicity 3)  6 Te 2.79

Computed properties:
The raw total energy comes out at -0.4407 Ry per atom. As for the relative energy among the computed polymorphs: 109 kJ/mol of formula units.

=====

The following is a PBE calculation of an optimized crystal structure of Sr2Mg16Ag, from the Alexandria database.

Unit cell a=10.4496 b=10.4496 c=15.3346 alpha=90.00 beta=90.00 gamma=120.00
Closest atoms and distances in Å follow each position.
Space group R3m (No. 160, hexagonal axes)
Inequivalent atoms, fractional coordinates:
Sr 0.0000 0.0000 0.0000 (multiplicity 3)  1 Ag 3.55, 15 Mg 3.70-3.92
Sr 0.0000 0.0000 0.3298 (multiplicity 3)  19 Mg 3.70-4.07
Mg 0.0000 0.0000 0.5781 (multiplicity 3)  1 Ag 2.92
Mg 0.9999 0.2953 0.6657 (multiplicity 18)  8 Mg 3.00-3.19
Mg 0.0028 0.5014 0.5117 (multiplicity 9)  8 Mg 2.98-3.19, 1 Ag 3.21
Mg 0.1669 0.3338 0.1516 (multiplicity 9)  9 Mg 3.05-3.33
Mg 0.1699 0.3398 0.4988 (multiplicity 9)  9 Mg 2.98-3.31, 1 Ag 3.12
Ag 0.0000 0.0000 0.7685 (multiplicity 3)  7 Mg 2.92-3.21

Computed properties:
The raw total energy comes out at -0.1273 Ry per atom. The calculation puts the formation energy at -6 kJ/mol of atoms.

=====

The following is a PBE calculation of an optimized crystal structure of BiTe2Pb4Se, from the Alexandria database.

Unit cell a=7.9224 b=4.5393 c=7.9373 alpha=90.00 beta=109.59 gamma=90.00
Closest atoms and distances in Å follow each position.
Space group P2/m (No. 10)
Inequivalent atoms, fractional coordinates:
Bi 0.0000 0.0000 0.0000 (multiplicity 1)  6 Pb 3.20-3.23
Te 0.0000 0.5000 0.5000 (multiplicity 1)  6 Pb 3.30-3.31
Te 0.5000 0.0000 0.5000 (multiplicity 1)  6 Pb 3.24-3.25
Pb 0.2526 0.5000 0.2414 (multiplicity 2)  1 Se 3.17, 2 Bi 3.20, 3 Te 3.24-3.31
Pb 0.2610 0.0000 0.7620 (multiplicity 2)  2 Se 3.15, 1 Bi 3.23, 3 Te 3.25-3.30
Se 0.5000 0.5000 0.0000 (multiplicity 1)  6 Pb 3.15-3.17

Computed properties:
The raw total energy comes out at -0.2807 Ry per atom.

=====

The records above yield M_tot values of 0.170, 0.000, 0.000, 0.000, 0.625, 0.000, 2.172, 0.205, 0.000, 0.000 μB per atom, respectively.